(1)
Below is a geometry-optimized Cs2InAuBr6 structure, with properties calculated at the PBE level.

The structure in extended XYZ format:
```
10
Lattice="7.904 0.000 0.000 3.952 6.845 0.000 3.952 2.282 6.454" Properties=species:S:1:pos:R:3 pbc="T T T"
Cs 11.856 6.845 4.840
Cs 3.952 2.282 1.613
In 0.000 0.000 0.000
Au 7.904 4.563 3.227
Br 7.904 2.262 1.599
Br 5.911 3.412 4.854
Br 7.904 6.865 4.854
Br 5.911 5.714 1.599
Br 9.897 3.412 4.854
Br 9.897 5.714 1.599
```

- V: 349.2 Å³ per cell
- DOS(E_F): 2.401 states/eV per cell
- Formation energy from raw total energies: -10.45 eV per formula unit
- Space-group type: Fm-3m (225)



(2)
Below is a geometry-optimized Cs2InAuBr structure, with properties calculated at the PBE level.

The structure in extended XYZ format:
```
5
Lattice="-5.862 2.794 2.338 1.058 -2.932 6.158 2.651 4.250 1.568" Properties=species:S:1:pos:R:3 pbc="T T T"
Cs 0.529 -1.466 3.079
Cs -2.931 1.397 1.169
Au 0.000 0.000 0.000
Br -1.077 2.056 5.032
In 1.325 2.125 0.784
```

- V: 250.0 Å³ per cell
- DOS(E_F): 2.903 states/eV per cell
- Formation energy from raw total energies: -3.13 eV per formula unit
- Space-group type: P4/mmm (123)



(3)
Below is a geometry-optimized Cs2KAu2Br6 structure, with properties calculated at the PBE level.

The structure in extended XYZ format:
```
11
Lattice="-0.242 6.766 -3.006 -7.179 -3.831 1.083 3.712 3.701 8.031" Properties=species:S:1:pos:R:3 pbc="T T T"
Cs -2.390 3.956 -0.029
Cs -1.320 2.679 6.138
K 1.735 5.233 2.513
Au -3.824 5.736 4.093
Au 0.114 0.899 2.015
Br -1.484 5.465 3.293
Br -5.517 -1.344 1.808
Br 1.924 4.727 5.746
Br 1.807 7.980 4.301
Br -5.633 1.908 0.363
Br -2.226 1.171 2.816
```

- V: 462.8 Å³ per cell
- DOS(E_F): 6.522 states/eV per cell
- Formation energy from raw total energies: -10.70 eV per formula unit
- Space-group type: C2/m (12)



(4)
Below is a geometry-optimized Cs2KAuBr6 structure, with properties calculated at the PBE level.

The structure in extended XYZ format:
```
10
Lattice="8.366 0.000 0.000 0.000 8.366 0.000 4.183 4.183 5.660" Properties=species:S:1:pos:R:3 pbc="T T T"
Cs 8.366 4.183 2.830
Cs 4.183 8.366 2.830
K 4.183 4.183 0.000
Au 0.000 0.000 0.000
Br 4.183 4.183 3.162
Br 8.366 8.366 2.498
Br 1.963 1.963 0.000
Br 6.403 6.403 0.000
Br 6.403 1.963 0.000
Br 1.963 6.403 0.000
```

- V: 396.1 Å³ per cell
- DOS(E_F): 6.765 states/eV per cell
- Formation energy from raw total energies: -10.51 eV per formula unit
- Space-group type: I4/mmm (139)



(5)
Below is a geometry-optimized Cs2LiAuBr6 structure, with properties calculated at the PBE level.

The structure in extended XYZ format:
```
10
Lattice="7.749 0.000 0.000 0.000 7.749 0.000 3.874 3.874 5.512" Properties=species:S:1:pos:R:3 pbc="T T T"
Cs 7.749 3.874 2.756
Cs 3.874 7.749 2.756
Au 0.000 0.000 0.000
Br 3.874 3.874 2.980
Br 7.749 7.749 2.532
Br 1.973 1.973 0.000
Br 5.776 5.776 0.000
Br 5.776 1.973 0.000
Br 1.973 5.776 0.000
Li 3.874 3.874 0.000
```

- V: 331.0 Å³ per cell
- DOS(E_F): 4.454 states/eV per cell
- Formation energy from raw total energies: -10.28 eV per formula unit
- Space-group type: I4/mmm (139)



(6)
Below is a geometry-optimized Cs2LiAu2Br6 structure, with properties calculated at the PBE level.

The structure in extended XYZ format:
```
11
Lattice="-6.900 0.561 -2.405 1.442 -5.842 5.668 -0.368 8.038 2.930" Properties=species:S:1:pos:R:3 pbc="T T T"
Cs -4.391 -0.458 1.325
Cs -1.435 3.214 4.867
Li -3.634 4.299 0.262
Au -5.433 1.393 4.746
Au -0.393 1.364 1.446
Br -4.680 2.926 2.942
Br -0.262 -3.271 5.259
Br -2.308 5.763 2.068
Br -5.564 6.028 0.933
Br -3.518 -3.007 4.124
Br -1.147 -0.170 3.250
```

- V: 406.2 Å³ per cell
- DOS(E_F): 6.095 states/eV per cell
- Formation energy from raw total energies: -10.21 eV per formula unit
- Space-group type: C2/m (12)



(7)
Below is a geometry-optimized Cs2NaAuBr structure, with properties calculated at the PBE level.

The structure in extended XYZ format:
```
5
Lattice="-1.947 -4.376 -5.174 5.035 0.496 -2.314 2.281 -5.493 3.787" Properties=species:S:1:pos:R:3 pbc="T T T"
Cs 1.141 -2.746 1.893
Cs -0.973 -2.188 -2.587
Na 2.685 -4.686 -1.851
Au 2.518 0.248 -1.157
Br 0.000 0.000 0.000
```

- V: 276.6 Å³ per cell
- DOS(E_F): 2.156 states/eV per cell
- Formation energy from raw total energies: -1.83 eV per formula unit
- Space-group type: P4/mmm (123)



(8)
Below is a geometry-optimized Cs2NaAu2Br6 structure, with properties calculated at the PBE level.

The structure in extended XYZ format:
```
11
Lattice="-4.788 -4.622 3.299 7.960 -2.179 0.139 -2.439 6.578 5.677" Properties=species:S:1:pos:R:3 pbc="T T T"
Cs -0.516 -2.850 3.620
Cs 1.250 2.627 5.494
Na -3.613 0.978 4.488
Au 0.606 -1.326 7.382
Au 0.128 1.103 1.732
Br -1.280 -0.221 6.193
Br 5.558 -1.494 1.951
Br -2.521 3.494 5.577
Br -4.824 1.272 7.163
Br 3.255 -3.717 3.538
Br 2.014 -0.001 2.921
```

- V: 429.2 Å³ per cell
- DOS(E_F): 6.619 states/eV per cell
- Formation energy from raw total energies: -10.31 eV per formula unit
- Space-group type: C2/m (12)



(9)
Below is a geometry-optimized Cs3NaAu2Br6 structure, with properties calculated at the PBE level.

The structure in extended XYZ format:
```
12
Lattice="-7.329 -1.674 3.582 7.074 -2.444 3.651 0.423 8.342 4.763" Properties=species:S:1:pos:R:3 pbc="T T T"
Cs 2.553 3.335 6.781
Cs -2.385 0.889 5.215
Cs 0.000 0.000 0.000
Na 0.212 4.171 2.381
Au -2.227 3.994 6.988
Au 2.396 0.231 5.009
Br 1.045 -0.768 6.958
Br 1.181 1.436 3.087
Br 4.966 0.128 5.041
Br -1.013 2.789 8.910
Br -0.876 4.992 5.039
Br -4.798 4.096 6.956
```

- V: 577.4 Å³ per cell
- DOS(E_F): 0.000 states/eV per cell
- Formation energy from raw total energies: -13.17 eV per formula unit
- Space-group type: P-3m1 (164)



(10)
Below is a geometry-optimized Cs2NiAuBr6 structure, with properties calculated at the PBE level.

The structure in extended XYZ format:
```
10
Lattice="7.458 0.003 0.000 0.002 7.458 0.000 3.731 3.731 5.823" Properties=species:S:1:pos:R:3 pbc="T T T"
Cs 7.460 3.731 2.911
Cs 3.731 7.460 2.912
Ni 7.461 7.461 0.001
Au 3.730 3.730 0.000
Br 3.731 3.731 3.452
Br 9.304 9.303 5.823
Br 1.887 5.575 0.000
Br 9.305 5.617 5.823
Br 1.888 1.889 0.000
Br 7.461 7.461 2.371
```

- V: 323.9 Å³ per cell
- DOS(E_F): 2.138 states/eV per cell
- Formation energy from raw total energies: -8.61 eV per formula unit
- Space-group type: I4/mmm (139)



(11)
Below is a geometry-optimized CsNiAuBr2 structure, with properties calculated at the PBE level.

The structure in extended XYZ format:
```
5
Lattice="-1.217 3.645 3.739 0.678 -4.734 4.836 5.194 1.238 0.484" Properties=species:S:1:pos:R:3 pbc="T T T"
Cs 0.339 -2.367 2.418
Ni 2.328 0.075 4.529
Au 0.000 0.000 0.000
Br 2.597 0.619 0.242
Br -0.609 1.823 1.869
```

- V: 195.5 Å³ per cell
- DOS(E_F): 14.946 states/eV per cell
- Formation energy from raw total energies: 1.74 eV per formula unit
- Space-group type: P4/mmm (123)



(12)
Below is a geometry-optimized CsNpAu2Br8 structure, with properties calculated at the PBE level.

The structure in extended XYZ format:
```
12
Lattice="6.905 0.000 0.000 3.453 5.980 0.000 3.453 1.993 10.706" Properties=species:S:1:pos:R:3 pbc="T T T"
Cs 6.905 3.987 5.353
Np 0.000 0.000 0.000
Au 3.453 1.993 3.066
Au 10.358 5.980 7.639
Br 3.453 1.993 5.520
Br 5.793 1.918 1.580
Br 10.358 5.980 5.186
Br 9.252 4.058 1.580
Br 4.558 3.916 9.126
Br 5.670 5.984 1.580
Br 8.140 1.989 9.126
Br 8.017 6.055 9.126
```

- V: 442.1 Å³ per cell
- DOS(E_F): 7.790 states/eV per cell
- Formation energy from raw total energies: -9.60 eV per formula unit
- Space-group type: R-3 (148)



Repeat the seventh record exactly.
Below is a geometry-optimized Cs2NaAuBr structure, with properties calculated at the PBE level.

The structure in extended XYZ format:
```
5
Lattice="-1.947 -4.376 -5.174 5.035 0.496 -2.314 2.281 -5.493 3.787" Properties=species:S:1:pos:R:3 pbc="T T T"
Cs 1.141 -2.746 1.893
Cs -0.973 -2.188 -2.587
Na 2.685 -4.686 -1.851
Au 2.518 0.248 -1.157
Br 0.000 0.000 0.000
```

- V: 276.6 Å³ per cell
- DOS(E_F): 2.156 states/eV per cell
- Formation energy from raw total energies: -1.83 eV per formula unit
- Space-group type: P4/mmm (123)